[1]
Material: ZnAgSe2O6
Method: DFT, PBE
State: relaxed

Lattice parameters (Å, degrees): 5.3133 5.3133 16.9248 90.00 90.00 120.00
Space group R-3 (No. 148, hexagonal axes)
Asymmetric unit:
Zn: 0.0000 0.0000 0.0000
Ag: 0.0000 0.0000 0.5000
Se: 0.0000 0.0000 0.2252
O: 0.0166 0.3790 0.4045

Values from the calculation:
Total magnetization, μB/f.u.: 0.00
Formation energy (no corrections), eV/atom: -0.657
Final energy, eV/cell: -142.24

=====

[2]
Material: PaAgRh2O8
Method: DFT, PBE
State: relaxed

Lattice parameters (Å, degrees): 5.7735 5.7735 6.4539 90.00 90.00 120.00
Space group P-3 (No. 147)
Asymmetric unit:
Pa: 0.0000 0.0000 0.0000
Ag: 0.0000 0.0000 0.5000
Rh: 0.3333 0.6667 0.9474
O: 0.0743 0.3768 0.1387
O: 0.3333 0.6667 0.6717

Values from the calculation:
Total magnetization, μB/f.u.: 0.00
Formation energy (no corrections), eV/atom: -0.863
Final energy, eV/cell: -77.07